Compound: K3AsBr6
Source: Alexandria
Functional: GGA-PBEsol
Structure: optimized geometry

Computed properties:
space group = Fm-3m (225)
crystal system = cubic
mass density = 3.10 g/cm³
uncorrected formation energy = -1139 meV/atom

```
data_K3AsBr6
_space_group_name_H-M_alt 'P 1'
_space_group_IT_number 1
_cell_length_a 7.981
_cell_length_b 7.981
_cell_length_c 7.981
_cell_angle_alpha 60.00
_cell_angle_beta 60.00
_cell_angle_gamma 60.00
loop_
_space_group_symop_operation_xyz
'x,y,z'
loop_
_atom_site_label
_atom_site_fract_x
_atom_site_fract_y
_atom_site_fract_z
Br1 0.232 0.768 0.232
Br2 0.768 0.232 0.232
Br3 0.768 0.232 0.768
Br4 0.232 0.768 0.768
Br5 0.232 0.232 0.768
Br6 0.768 0.768 0.232
K1 0.750 0.750 0.750
K2 0.500 0.500 0.500
K3 0.250 0.250 0.250
As1 0.000 0.000 0.000
```